(1)
Computed, not measured: an optimized crystal structure of GdCuTe2 at the PBE level of DFT.

Properties
energy	-24.790	eV per cell
DOS(E_F)	4.0	states/eV/cell
symmetry	No. 166

a b c (Å): 9.5047 9.5047 9.5047
angles (deg): 23.05 23.05 23.05
Sites, in units of the cell vectors:
Gd1 0.0000 0.0000 0.0000
Cu1 0.5000 0.5000 0.5000
Te1 0.1097 0.1097 0.1097
Te2 0.8903 0.8903 0.8903


(2)
Computed, not measured: an optimized crystal structure of Gd2CuTe at the PBE level of DFT.

Properties
energy	-38.069	eV per cell
DOS(E_F)	3.0	states/eV/cell
symmetry	No. 123

a b c (Å): 3.7983 3.7983 6.8777
angles (deg): 90.00 90.00 90.00
Sites, in units of the cell vectors:
Gd1 0.0000 0.0000 0.2373
Gd2 0.0000 0.0000 0.7627
Cu1 0.5000 0.5000 0.0000
Te1 0.5000 0.5000 0.5000


(3)
Computed, not measured: an optimized crystal structure of Gd2CuTe at the PBE level of DFT.

Properties
energy	-38.271	eV per cell
DOS(E_F)	4.3	states/eV/cell
symmetry	No. 166

a b c (Å): 7.7489 7.7489 7.7489
angles (deg): 31.02 31.02 31.02
Sites, in units of the cell vectors:
Gd1 0.2413 0.2413 0.2413
Gd2 0.7587 0.7587 0.7587
Cu1 0.5000 0.5000 0.5000
Te1 0.0000 0.0000 0.0000